# 1
Density functional theory data (PBE) for an optimized crystal structure of NbCoNiGe.

```
NbCoNiGe
1.0
0.000 2.992 2.992
2.992 0.000 2.992
2.992 2.992 0.000
Nb Co Ni Ge
1 1 1 1
Cartesian
0.000 0.000 0.000
4.489 4.489 4.489
2.992 2.992 2.992
1.496 1.496 1.496
```

## Properties
As for the energy above the most stable polymorph in this dataset: 106 meV per atom. Its total energy is -6.957 eV per atom.



# 2
Density functional theory data (PBE) for an optimized crystal structure of LiScPt2.

```
LiScPt2
1.0
0.000 3.184 3.184
3.184 0.000 3.184
3.184 3.184 0.000
Li Sc Pt
1 1 2
Cartesian
0.000 0.000 0.000
1.592 1.592 1.592
3.184 3.184 3.184
4.776 4.776 4.776
```

## Properties
As for the energy above the most stable polymorph in this dataset: 242 meV per atom. Its total energy is -5.850 eV per atom.



# 3
Density functional theory data (PBE) for an optimized crystal structure of GdSnNO.

```
GdSnNO
1.0
3.848 0.000 0.000
0.000 5.886 0.000
0.000 0.000 6.469
Gd Sn N O
2 2 2 2
Cartesian
0.000 1.120 0.000
0.000 4.766 3.234
1.924 1.692 2.982
1.924 4.195 6.216
1.924 2.294 0.569
1.924 3.592 3.803
0.000 0.832 4.304
0.000 5.055 1.069
```

## Properties
As for the energy above the most stable polymorph in this dataset: 147 meV per atom. Its total energy is -6.772 eV per atom.



# 4
Density functional theory data (PBE) for an optimized crystal structure of Bi2Pt.

```
Bi2Pt
1.0
-3.554 3.554 2.944
3.554 -3.554 2.944
3.554 3.554 -2.944
Bi Pt
4 2
Cartesian
4.727 1.173 0.000
1.173 2.381 0.000
2.381 1.173 2.944
-1.173 2.381 2.944
0.000 0.000 1.472
0.000 0.000 4.417
```

## Properties
Its total energy is -4.851 eV per atom.



# 5
Density functional theory data (PBE) for an optimized crystal structure of ErAl2Os2.

```
ErAl2Os2
1.0
-2.056 2.056 5.318
2.056 -2.056 5.318
2.056 2.056 -5.318
Er Al Os
1 2 2
Cartesian
0.000 0.000 0.000
0.000 0.000 4.045
0.000 0.000 6.590
2.056 0.000 2.659
0.000 2.056 2.659
```

## Properties
Its total energy is -7.102 eV per atom.



# 6
Density functional theory data (PBE) for an optimized crystal structure of GdEr2Zn3CdIn2.

```
GdEr2Zn3CdIn2
1.0
4.574 0.000 0.000
0.000 6.222 3.555
0.000 -6.222 3.555
Gd Er Zn Cd In
1 2 3 1 2
Cartesian
0.000 0.000 0.000
0.000 -2.685 4.580
0.000 2.685 4.580
2.287 -1.447 2.231
2.287 1.447 2.231
2.287 0.000 4.726
0.000 0.000 3.098
2.287 -4.129 3.051
2.287 4.129 3.051
```

## Properties
Its total energy is -3.024 eV per atom.